PBE KCuNi, optimized geometry; ΔH_f (0 K) = 0.9979 eV/atom; calculated density = 4.03 g/cm3; M_tot = 0.00 μB/f.u.; excess energy over the best structure of this formula in the dataset = 54.44 kJ per mole of atoms; calculated total energy = -7.981 eV/f.u.
1.0
4.549 0.000 0.000
2.274 3.939 0.000
2.274 1.313 3.714
Ni Cu K
1 1 1
Direct
0.750 0.750 0.750
0.000 0.000 0.000
0.500 0.500 0.500

=====

PBE BaHfIr3, optimized geometry; ΔH_f (0 K) = 2.4009 eV/atom; calculated density = 11.92 g/cm3; M_tot = 0.00 μB/f.u.; excess energy over the best structure of this formula in the dataset = 176.93 kJ per mole of atoms; calculated total energy = -26.455 eV/f.u.
1.0
-1.582 -4.514 -1.422
4.686 -1.704 0.196
-0.663 -1.273 4.780
Hf Ir Ba
1 3 1
Direct
0.500 0.500 0.500
0.000 0.500 0.000
0.000 0.000 0.500
0.500 0.000 0.000
0.000 0.000 0.000

=====

PBE Mg3ScTl2F12, optimized geometry; uncorrected formation energy = -3.0312 eV per atom; calculated density = 4.33 g/cm3; M_tot = 1.19 μB/f.u.; calculated total energy = -92.865 eV/f.u.
1.0
-2.303 -1.315 7.032
-4.394 -5.865 1.665
2.580 -5.848 3.952
F Tl Mg Sc
12 2 3 1
Direct
0.931 0.324 0.931
0.081 0.676 0.676
0.676 0.676 0.081
0.324 0.919 0.324
0.676 0.081 0.676
0.324 0.324 0.919
0.069 0.676 0.069
0.676 0.069 0.069
0.324 0.931 0.931
0.919 0.324 0.324
0.069 0.069 0.676
0.931 0.931 0.324
0.596 0.596 0.596
0.404 0.404 0.404
0.000 0.500 0.000
0.000 0.000 0.500
0.500 0.000 0.000
0.000 0.000 0.000

=====

PBE LaW2Br2, optimized geometry; uncorrected formation energy = 0.9721 eV per atom; calculated density = 9.57 g/cm3; M_tot = 0.00 μB/f.u.; excess energy over the best structure of this formula in the dataset = 43.70 kJ per mole of atoms; calculated total energy = -29.319 eV/f.u.
1.0
-6.796 -2.442 4.574
-1.139 -6.653 -5.245
1.873 -1.770 1.838
W La Br
4 2 4
Direct
0.601 0.101 0.000
0.899 0.601 0.000
0.399 0.899 0.000
0.101 0.399 0.000
0.500 0.500 0.000
0.000 0.000 0.000
0.276 0.224 0.500
0.224 0.724 0.500
0.776 0.276 0.500
0.724 0.776 0.500

=====

PBE Pa2TlTe5, optimized geometry; uncorrected formation energy = -0.7093 eV per atom; calculated density = 7.79 g/cm3; M_tot = 1.10 μB/f.u.; excess energy over the best structure of this formula in the dataset = 4.88 kJ per mole of atoms; calculated total energy = -42.741 eV/f.u.
1.0
4.554 0.000 0.000
2.277 8.554 2.088
2.277 3.624 8.024
Tl Pa Te
1 2 5
Direct
0.000 0.000 0.000
0.187 0.313 0.313
0.813 0.687 0.687
0.000 0.500 0.500
0.651 0.613 0.086
0.651 0.086 0.613
0.349 0.914 0.387
0.349 0.387 0.914

=====

PBE TbMgSc3, optimized geometry; ΔH_f (0 K) = 0.0063 eV/atom; calculated density = 4.13 g/cm3; M_tot = 0.01 μB/f.u.; calculated total energy = -25.188 eV/f.u.
1.0
-1.808 -2.800 -0.701
-0.258 -3.253 5.386
-10.328 5.720 3.796
Sc Mg Tb
6 2 2
Direct
0.842 0.315 0.570
0.631 0.739 0.982
0.970 0.061 0.817
0.158 0.685 0.430
0.369 0.261 0.018
0.030 0.939 0.183
0.439 0.122 0.382
0.561 0.878 0.618
0.760 0.480 0.226
0.240 0.520 0.774

=====

PBE Y4PPb2, optimized geometry; ΔH_f (0 K) = -0.6534 eV/atom; calculated density = 6.66 g/cm3; M_tot = 0.00 μB/f.u.; calculated total energy = -43.257 eV/f.u.
1.0
6.611 0.000 -0.413
0.000 6.632 0.000
-2.882 0.000 9.287
Y Pb P
8 4 2
Direct
0.067 0.750 0.868
0.913 0.250 0.580
0.506 0.502 0.748
0.933 0.250 0.132
0.087 0.750 0.420
0.494 0.498 0.252
0.494 0.002 0.252
0.506 0.998 0.748
0.707 0.750 0.548
0.307 0.250 0.949
0.293 0.250 0.452
0.693 0.750 0.051
0.149 0.750 0.159
0.851 0.250 0.841

=====

PBE LiLaPd2, optimized geometry; ΔH_f (0 K) = -0.3513 eV/atom; calculated density = 6.54 g/cm3; M_tot = 0.00 μB/f.u.; calculated total energy = -18.632 eV/f.u.
1.0
-0.405 -3.013 -3.687
4.697 0.353 -0.805
3.448 -7.494 2.648
La Li Pd
2 2 4
Direct
0.750 0.250 0.500
0.000 0.000 0.000
0.250 0.750 0.500
0.500 0.500 0.000
0.498 0.125 0.250
0.875 0.748 0.750
0.252 0.625 0.250
0.375 0.502 0.750